{
  "formula": "Al2AgAs",
  "functional": "PBE",
  "state": "optimized geometry",
  "dos_at_fermi_per_ev_atom": 0.34,
  "final_energy_ev_per_atom": -3.536,
  "sg": "F-43m (216)",
  "lattice_angstrom": [[4.7360, 0.0000, 0.0000], [2.3680, 4.1015, 0.0000], [2.3680, 1.3672, 3.8670]],
  "species": ["Al", "As", "Al", "Ag"],
  "fractional_positions": [[0.7500, 0.7500, 0.7500], [0.2500, 0.2500, 0.2500], [0.0000, 0.0000, 0.0000], [0.5000, 0.5000, 0.5000]]
}

=====

{
  "formula": "AlAg3As",
  "functional": "PBE",
  "state": "optimized geometry",
  "dos_at_fermi_per_ev_atom": 0.50,
  "final_energy_ev_per_atom": -2.919,
  "sg": "Pm-3m (221)",
  "lattice_angstrom": [[-4.3511, 1.7349, 1.7052], [-2.0238, -0.6427, -4.5101], [-1.3498, -4.6289, 1.2654]],
  "species": ["Ag", "Ag", "As", "Al", "Ag"],
  "fractional_positions": [[0.5000, 0.0000, 0.0000], [0.0000, 0.0000, 0.5000], [0.0000, 0.0000, 0.0000], [0.5000, 0.5000, 0.5000], [0.0000, 0.5000, 0.0000]]
}

=====

{
  "formula": "AlAgAs2",
  "functional": "PBE",
  "state": "optimized geometry",
  "dos_at_fermi_per_ev_atom": 0.69,
  "final_energy_ev_per_atom": -3.710,
  "sg": "Fm-3m (225)",
  "lattice_angstrom": [[1.2847, -3.0361, 3.3744], [-3.0078, -3.3366, 1.4408], [0.8015, -4.5226, -1.0767]],
  "species": ["As", "Al", "Ag", "As"],
  "fractional_positions": [[0.2500, 0.2500, 0.2500], [0.0000, 0.0000, 0.0000], [0.5000, 0.5000, 0.5000], [0.7500, 0.7500, 0.7500]]
}

=====

{
  "formula": "AlAg2As",
  "functional": "PBE",
  "state": "optimized geometry",
  "dos_at_fermi_per_ev_atom": 0.50,
  "final_energy_ev_per_atom": -3.423,
  "sg": "I-4m2 (119)",
  "lattice_angstrom": [[5.0878, 0.0010, 0.0000], [1.6520, 4.8121, 0.0000], [-3.3699, -2.4066, 2.9559]],
  "species": ["Al", "Ag", "Ag", "As"],
  "fractional_positions": [[0.5000, 0.5000, 0.0000], [0.0000, 0.0000, 0.0000], [0.2500, 0.7500, 0.5000], [0.7500, 0.2500, 0.5000]]
}

=====

{
  "formula": "AlAgAs2",
  "functional": "PBE",
  "state": "optimized geometry",
  "dos_at_fermi_per_ev_atom": 0.66,
  "final_energy_ev_per_atom": -3.658,
  "sg": "F-43m (216)",
  "lattice_angstrom": [[4.7187, 0.0000, 0.0000], [2.3593, 4.0865, 0.0000], [2.3593, 1.3622, 3.8528]],
  "species": ["Ag", "Al", "As", "As"],
  "fractional_positions": [[0.5000, 0.5000, 0.5000], [0.7500, 0.7500, 0.7500], [0.2500, 0.2500, 0.2500], [0.0000, 0.0000, 0.0000]]
}

=====

{
  "formula": "Al2AgAs",
  "functional": "PBE",
  "state": "optimized geometry",
  "dos_at_fermi_per_ev_atom": 0.51,
  "final_energy_ev_per_atom": -3.643,
  "sg": "P4/mmm (123)",
  "lattice_angstrom": [[-2.5063, -0.3173, -1.6788], [1.6862, 0.0559, -2.5208], [0.7385, -7.5598, 0.3263]],
  "species": ["Al", "Ag", "As", "Al"],
  "fractional_positions": [[0.0000, 0.0000, 0.5028], [0.5000, 0.5000, 0.7500], [0.5000, 0.5000, 0.2500], [0.0000, 0.0000, 0.9972]]
}

=====

{
  "formula": "AlAg2As",
  "functional": "PBE",
  "state": "optimized geometry",
  "dos_at_fermi_per_ev_atom": 0.28,
  "final_energy_ev_per_atom": -3.432,
  "sg": "Pmmm (47)",
  "lattice_angstrom": [[2.9270, 0.0000, 0.0000], [0.0000, 4.1801, 0.0000], [0.0000, 0.0000, 5.8829]],
  "species": ["Ag", "Al", "Ag", "As"],
  "fractional_positions": [[0.0000, 0.0000, 0.0124], [0.5000, 0.5000, 0.2500], [0.0000, 0.0000, 0.4876], [0.5000, 0.5000, 0.7500]]
}

=====

{
  "formula": "AlAgAs2",
  "functional": "PBE",
  "state": "optimized geometry",
  "dos_at_fermi_per_ev_atom": 0.36,
  "final_energy_ev_per_atom": -3.815,
  "sg": "C2/m (12)",
  "lattice_angstrom": [[5.9266, -0.0183, -0.1438], [5.1110, 3.0004, -0.1438], [-1.6184, -0.4372, 4.5858]],
  "species": ["As", "As", "Ag", "Al"],
  "fractional_positions": [[0.5034, 0.5034, 0.4523], [0.9966, 0.9966, 0.0477], [0.7500, 0.7500, 0.7500], [0.2500, 0.2500, 0.2500]]
}

=====

{
  "formula": "Al2AgAs",
  "functional": "PBE",
  "state": "optimized geometry",
  "dos_at_fermi_per_ev_atom": 0.36,
  "final_energy_ev_per_atom": -3.683,
  "sg": "R3m (160)",
  "lattice_angstrom": [[9.3192, 0.0067, 0.0039], [8.8361, 2.9616, 0.0039], [8.8361, 1.4447, 2.5853]],
  "species": ["Al", "Al", "Ag", "As"],
  "fractional_positions": [[0.2524, 0.2524, 0.2524], [0.9976, 0.9976, 0.9976], [0.7425, 0.7425, 0.7425], [0.5075, 0.5075, 0.5075]]
}

=====

{
  "formula": "AlAgAs2",
  "functional": "PBE",
  "state": "optimized geometry",
  "dos_at_fermi_per_ev_atom": 0.40,
  "final_energy_ev_per_atom": -3.742,
  "sg": "Pmmm (47)",
  "lattice_angstrom": [[-1.9938, 3.2469, -0.3862], [-4.3672, -2.6879, -0.0521], [-0.2396, 0.3141, 3.8777]],
  "species": ["Ag", "As", "Al", "As"],
  "fractional_positions": [[0.5000, 0.0000, 0.5000], [0.5000, 0.5000, 0.0000], [0.0000, 0.5000, 0.5000], [0.0000, 0.0000, 0.0000]]
}

=====

{
  "formula": "AlAgAs2",
  "functional": "PBE",
  "state": "optimized geometry",
  "dos_at_fermi_per_ev_atom": 0.33,
  "final_energy_ev_per_atom": -3.762,
  "sg": "P4mm (99)",
  "lattice_angstrom": [[-2.1668, -0.7894, 1.6757], [-1.3707, -1.0512, -2.2677], [4.1152, -8.3548, 1.3856]],
  "species": ["As", "Al", "Ag", "As"],
  "fractional_positions": [[0.0000, 0.0000, 0.9515], [0.5000, 0.5000, 0.7405], [0.0000, 0.0000, 0.5259], [0.5000, 0.5000, 0.2822]]
}

=====

{
  "formula": "AlAg2As",
  "functional": "PBE",
  "state": "optimized geometry",
  "dos_at_fermi_per_ev_atom": 0.32,
  "final_energy_ev_per_atom": -3.444,
  "sg": "R3m (160)",
  "lattice_angstrom": [[9.1151, -0.0095, -0.0056], [8.6128, 2.9838, -0.0056], [8.6128, 1.4450, 2.6106]],
  "species": ["Ag", "Al", "As", "Ag"],
  "fractional_positions": [[0.0012, 0.0012, 0.0012], [0.4986, 0.4986, 0.4986], [0.2450, 0.2450, 0.2450], [0.7552, 0.7552, 0.7552]]
}

=====

{
  "formula": "AlAgAs2",
  "functional": "PBE",
  "state": "optimized geometry",
  "dos_at_fermi_per_ev_atom": 0.38,
  "final_energy_ev_per_atom": -3.768,
  "sg": "Cmm2 (35)",
  "lattice_angstrom": [[-1.7052, 0.5211, -2.2313], [-0.4394, -2.8005, 0.3497], [-7.0917, 1.8432, 5.8498]],
  "species": ["Al", "Ag", "As", "As"],
  "fractional_positions": [[0.5000, 0.5000, 0.7424], [0.0000, 0.0000, 0.5238], [0.0000, 0.0000, 0.9581], [0.5000, 0.5000, 0.2756]]
}

=====

{
  "formula": "Al2AgAs",
  "functional": "PBE",
  "state": "optimized geometry",
  "dos_at_fermi_per_ev_atom": 0.37,
  "final_energy_ev_per_atom": -3.604,
  "sg": "I4/mmm (139)",
  "lattice_angstrom": [[-3.8365, -1.7649, 2.6505], [-2.2470, -3.3896, -2.8846], [4.8062, 0.4433, 1.2501]],
  "species": ["Al", "Ag", "Al", "As"],
  "fractional_positions": [[0.5000, 0.5000, 0.0000], [0.7500, 0.2500, 0.5000], [0.0000, 0.0000, 0.0000], [0.2500, 0.7500, 0.5000]]
}

=====

{
  "formula": "AlAgAs",
  "functional": "PBE",
  "state": "optimized geometry",
  "dos_at_fermi_per_ev_atom": 0.45,
  "final_energy_ev_per_atom": -3.707,
  "sg": "F-43m (216)",
  "lattice_angstrom": [[4.4070, 0.0000, 0.0000], [2.2035, 3.8166, 0.0000], [2.2035, 1.2722, 3.5983]],
  "species": ["Ag", "Al", "As"],
  "fractional_positions": [[0.5000, 0.5000, 0.5000], [0.7500, 0.7500, 0.7500], [0.0000, 0.0000, 0.0000]]
}

=====

{
  "formula": "AlAg2As",
  "functional": "PBE",
  "state": "optimized geometry",
  "dos_at_fermi_per_ev_atom": 0.43,
  "final_energy_ev_per_atom": -3.407,
  "sg": "Immm (71)",
  "lattice_angstrom": [[-2.9073, -0.3245, -4.8356], [3.0513, -0.3522, -4.7441], [-1.6350, -2.1937, 4.9452]],
  "species": ["Ag", "As", "Ag", "Al"],
  "fractional_positions": [[0.9886, 0.9886, 0.0000], [0.2500, 0.7500, 0.5000], [0.5114, 0.5114, 0.0000], [0.7500, 0.2500, 0.5000]]
}

=====

{
  "formula": "AlAgAs2",
  "functional": "PBE",
  "state": "optimized geometry",
  "dos_at_fermi_per_ev_atom": 0.21,
  "final_energy_ev_per_atom": -3.998,
  "sg": "Pmm2 (25)",
  "lattice_angstrom": [[-3.5323, -0.5032, 2.0841], [-0.1529, -2.8850, -0.9556], [3.8153, 0.7949, 6.6584]],
  "species": ["As", "Ag", "Al", "As"],
  "fractional_positions": [[0.5000, 0.0913, 0.4658], [0.0000, 0.4536, 0.3276], [0.5000, 0.8794, 0.7545], [0.0000, 0.0757, 0.9521]]
}

=====

{
  "formula": "AlAgAs4",
  "functional": "PBE",
  "state": "optimized geometry",
  "dos_at_fermi_per_ev_atom": 0.37,
  "final_energy_ev_per_atom": -3.781,
  "sg": "F-43m (216)",
  "lattice_angstrom": [[0.0000, 3.9585, 3.9585], [3.9585, 0.0000, 3.9585], [3.9585, 3.9585, 0.0000]],
  "species": ["Al", "As", "As", "As", "Ag", "As"],
  "fractional_positions": [[0.0000, 0.0000, 0.0000], [0.3743, 0.3743, 0.8772], [0.8772, 0.3743, 0.3743], [0.3743, 0.8772, 0.3743], [0.7500, 0.7500, 0.7500], [0.3743, 0.3743, 0.3743]]
}

=====

{
  "formula": "AlAg2As",
  "functional": "PBE",
  "state": "optimized geometry",
  "dos_at_fermi_per_ev_atom": 0.41,
  "final_energy_ev_per_atom": -3.372,
  "sg": "F-43m (216)",
  "lattice_angstrom": [[4.7022, 0.0000, 0.0000], [2.3511, 4.0723, 0.0000], [2.3511, 1.3574, 3.8394]],
  "species": ["Ag", "Al", "Ag", "As"],
  "fractional_positions": [[0.0000, 0.0000, 0.0000], [0.5000, 0.5000, 0.5000], [0.2500, 0.2500, 0.2500], [0.7500, 0.7500, 0.7500]]
}

=====

{
  "formula": "AlAg2As2",
  "functional": "PBE",
  "state": "optimized geometry",
  "dos_at_fermi_per_ev_atom": 0.28,
  "final_energy_ev_per_atom": -3.455,
  "sg": "I4/mmm (139)",
  "lattice_angstrom": [[3.7964, 0.0000, 0.0000], [0.0000, 3.7964, 0.0000], [1.8982, 1.8982, 7.1214]],
  "species": ["Ag", "Al", "Ag", "As", "As"],
  "fractional_positions": [[0.5943, 0.5943, 0.8115], [0.0000, 0.0000, 0.0000], [0.4057, 0.4057, 0.1885], [0.2500, 0.7500, 0.5000], [0.7500, 0.2500, 0.5000]]
}